(1)
Entry from the Alexandria database: InAs2CSe after structural relaxation (PBE).

Values from the calculation:
Uncorrected formation energy in meV/atom: 944
Symmetry: P4/mmm, No. 123
V in Å³/cell: 94.14
Magnetic moment in μB per atom: 0.0000

The structure in POSCAR format:
```
InAs2CSe
1.0
4.5717 0.0000 0.0000
0.0000 4.5717 0.0000
0.0000 0.0000 4.5044
In As C Se
1 2 1 1
direct
0.0000 0.0000 0.0000 In
0.0000 0.5000 0.5000 As
0.5000 0.0000 0.5000 As
0.5000 0.5000 0.5000 C
0.5000 0.5000 0.0000 Se
```

=====

(2)
Entry from the Alexandria database: KCoSi2 after structural relaxation (PBE).

Values from the calculation:
Uncorrected formation energy in meV/atom: 948
Symmetry: F-43m, No. 216
V in Å³/cell: 69.32
Magnetic moment in μB per atom: 0.3780

The structure in POSCAR format:
```
KCoSi2
1.0
0.0000 3.2604 3.2604
3.2604 0.0000 3.2604
3.2604 3.2604 0.0000
K Co Si
1 1 2
direct
0.0000 0.0000 0.0000 K
0.7500 0.7500 0.7500 Co
0.2500 0.2500 0.2500 Si
0.5000 0.5000 0.5000 Si
```

=====

What did the second record say?
Entry from the Alexandria database: KCoSi2 after structural relaxation (PBE).

Values from the calculation:
Uncorrected formation energy in meV/atom: 948
Symmetry: F-43m, No. 216
V in Å³/cell: 69.32
Magnetic moment in μB per atom: 0.3780

The structure in POSCAR format:
```
KCoSi2
1.0
0.0000 3.2604 3.2604
3.2604 0.0000 3.2604
3.2604 3.2604 0.0000
K Co Si
1 1 2
direct
0.0000 0.0000 0.0000 K
0.7500 0.7500 0.7500 Co
0.2500 0.2500 0.2500 Si
0.5000 0.5000 0.5000 Si
```

=====

- Which formula does entry 1 have?
  InAs2CSe

=====

- Look up the uncorrected formation energy of the second one.
  948 meV/atom